[1]
Density functional theory data (PBE) for a relaxed structure of Ba2SrBr.

Values from the calculation:
V in Å³/cell: 210
Formation energy from raw total energies in eV per atom: -0.41
DOS at the Fermi energy in states/eV/cell: 4.35
Distance to the lowest polymorph of the same formula in meV per atom: 339.8
ρ in kg/m3: 3494
Total magnetization in μB/f.u.: 0.0
Raw total energy in eV per atom: -2.211
Crystal system: orthorhombic

a b c (Å): 4.4537 6.4668 7.2969
angles (deg): 90.00 90.00 90.00
Atoms (fractional coordinates):
Ba1 0.0000 0.0000 0.0000
Ba2 0.5000 0.0000 0.5000
Sr1 0.0000 0.5000 0.5000
Br1 0.5000 0.5000 0.0000

[2]
Density functional theory data (PBE) for a relaxed structure of Sm6Tm5Th2.

Values from the calculation:
V in Å³/cell: 854
DOS at the Fermi energy in states/eV/cell: 32.73
ρ in kg/m3: 8602
Total magnetization in μB/f.u.: 0.0
Raw total energy in eV per atom: -4.920
Calculated formation energy in eV/atom: 0.12
Crystal system: orthorhombic

a b c (Å): 11.6587 20.3101 3.6050
angles (deg): 90.00 90.00 90.00
Atoms (fractional coordinates):
Sm1 0.0664 0.0725 0.0000
Sm2 0.0759 0.3607 0.0000
Sm3 0.1778 0.6270 0.5000
Sm4 0.3222 0.1270 0.5000
Sm5 0.4241 0.8607 0.0000
Sm6 0.4336 0.5725 0.0000
Sm7 0.5664 0.4275 0.0000
Sm8 0.5759 0.1393 0.0000
Sm9 0.6778 0.8730 0.5000
Sm10 0.8222 0.3730 0.5000
Sm11 0.9241 0.6393 0.0000
Sm12 0.9336 0.9275 0.0000
Tm1 0.0000 0.5000 0.5000
Tm2 0.0890 0.2178 0.5000
Tm3 0.1958 0.9345 0.5000
Tm4 0.3042 0.4345 0.5000
Tm5 0.4110 0.7178 0.5000
Tm6 0.5000 0.0000 0.5000
Tm7 0.5890 0.2822 0.5000
Tm8 0.6958 0.5655 0.5000
Tm9 0.8042 0.0655 0.5000
Tm10 0.9110 0.7822 0.5000
Th1 0.1717 0.7771 0.0000
Th2 0.3283 0.2771 0.0000
Th3 0.6717 0.7229 0.0000
Th4 0.8283 0.2229 0.0000